KAlCl2: single point on PBEsol structure, SCAN.

ΔE to the lowest computed polymorph: 179.8 meV/atom
M_tot: 0.00 μB per formula unit
Formation energy from raw total energies: -1.08 eV/atom
V: 107.4 Å³/cell

extended XYZ file:
```
4
Lattice="-2.084 2.084 6.180 2.084 -2.084 6.180 2.084 2.084 -6.180" Properties=species:S:1:pos:R:3 pbc="T T T"
K 0.000 0.000 0.000
Al 0.000 2.084 3.090
Cl 2.084 0.000 3.090
Cl 0.000 0.000 6.180
```